A geometry-optimized KLiIn2Hg4 structure, computed with PBE.

abc: 4.9291 4.9291 31.7420
angles: 90.00 90.00 120.00
Space group R-3m (No. 166, hexagonal axes)
Asymmetric unit:
K (0.0000, 0.0000, 0.0000) x3
Li (0.0000, 0.0000, 0.5000) x3
In (0.0000, 0.0000, 0.2361) x6
Hg (0.0000, 0.0000, 0.1386) x6
Hg (0.0000, 0.0000, 0.3974) x6

Calculated values
DFT formation energy ... -0.19 eV per atom
V ... 667.9 Å³ per cell

A geometry-optimized LiPmYNi structure, computed with PBE.

abc: 7.075 7.075 7.075
angles: 90.00 90.00 90.00
Space group F-43m (No. 216)
Asymmetric unit:
Li (0.000, 0.000, 0.000) x4
Pm (0.250, 0.250, 0.750) x4
Y (0.250, 0.250, 0.250) x4
Ni (0.000, 0.000, 0.500) x4

Calculated values
DFT formation energy ... -0.10 eV per atom
V ... 354.1 Å³ per cell

A geometry-optimized CaTc2Pb structure, computed with PBE.

abc: 3.1810 3.1810 27.6350
angles: 90.00 90.00 120.00
Space group R-3m (No. 166, hexagonal axes)
Asymmetric unit:
Ca (0.0000, 0.0000, 0.0000) x3
Tc (0.0000, 0.0000, 0.2441) x6
Pb (0.0000, 0.0000, 0.5000) x3

Calculated values
DFT formation energy ... 0.88 eV per atom
V ... 242.2 Å³ per cell

A geometry-optimized EuPuAsAu structure, computed with PBE.

abc: 7.341 7.341 7.341
angles: 90.00 90.00 90.00
Space group F-43m (No. 216)
Asymmetric unit:
Eu (0.000, 0.000, 0.000) x4
Pu (0.000, 0.000, 0.500) x4
As (0.250, 0.250, 0.250) x4
Au (0.250, 0.250, 0.750) x4

Calculated values
DFT formation energy ... -0.77 eV per atom
V ... 395.5 Å³ per cell

A geometry-optimized Li2TaRu structure, computed with PBE.

abc: 2.7114 2.7114 29.5774
angles: 90.00 90.00 120.00
Space group R-3m (No. 166, hexagonal axes)
Asymmetric unit:
Li (0.0000, 0.0000, 0.2421) x6
Ta (0.0000, 0.0000, 0.0000) x3
Ru (0.0000, 0.0000, 0.5000) x3

Calculated values
DFT formation energy ... 0.32 eV per atom
V ... 188.3 Å³ per cell
Excess energy over the best structure of this formula in the dataset ... 230.5 meV/atom

A geometry-optimized Na2GaPt2O6 structure, computed with PBE.

abc: 5.520 9.374 5.746
angles: 90.00 109.44 90.00
Space group C2/m (No. 12)
Asymmetric unit:
Na (0.000, 0.171, 0.000) x4
Ga (0.000, 0.000, 0.500) x2
Pt (0.000, 0.335, 0.500) x4
O (0.225, 0.168, 0.688) x8
O (0.245, 0.500, 0.687) x4

Calculated values
Formation energy without anion corrections ... -1.09 eV per atom
V ... 280.4 Å³ per cell

| no. | M_tot (Bohr magnetons per cell) | total energy (eV/cell) |
| --- | --- | --- |
| 1 | 0.0 | -33.64 |
| 2 | 0.0 | -77.19 |
| 3 | 1.2 | -68.81 |
| 4 | 52.0 | -142.44 |
| 5 | 0.6 | -71.04 |
| 6 | 0.0 | -118.95 |